! PaSbP PBE optimized geometry; values from VASP
&SYSTEM
  ibrav = 0, nat = 6, ntyp = 3
/
ATOMIC_SPECIES
Sb 121.76 Sb.upf
Pa 231.04 Pa.upf
P 30.97 P.upf
CELL_PARAMETERS angstrom
3.997 0.000 -0.833
-0.174 3.993 -0.833
-0.239 -0.250 8.852
ATOMIC_POSITIONS crystal
Sb 0.000 0.500 0.000
Sb 0.500 0.000 0.000
Pa 0.343 0.343 0.687
Pa 0.657 0.657 0.313
P 0.820 0.820 0.640
P 0.180 0.180 0.360
! Crystal system: tetragonal
! ΔE_f (raw) (eV per atom): -0.789
! SG: I4/mmm
! D(E_F) (states/eV per atom): 0.95
! Electronic total energy (eV per cell): -42.8
! Excess energy over the best structure of this formula in the dataset (meV/atom): 36